Entry 1:
VASP calculation (PBE-GGA) on a relaxed SrSi2 crystal.

CIF file:
```
data_SrSi2
_chemical_formula_sum 'Sr2 Si4'
_cell_length_a 10.5114
_cell_length_b 10.5114
_cell_length_c 3.8230
_cell_angle_alpha 90.00
_cell_angle_beta 90.00
_cell_angle_gamma 160.06
_symmetry_space_group_name_H-M 'P 1'
_symmetry_Int_Tables_number 1
_symmetry_space_group_name_Hall 'P 1'
loop_
_atom_site_label
_atom_site_fract_x
_atom_site_fract_y
_atom_site_fract_z
Sr1 0.1168 0.8832 0.7500
Sr2 0.8832 0.1168 0.2500
Si1 0.2457 0.7543 0.2500
Si2 0.4680 0.5320 0.7500
Si3 0.5320 0.4680 0.2500
Si4 0.7543 0.2457 0.7500
```

Properties
- D(E_F): 3.2 states/eV per cell
- E_tot: -4.27 eV/atom



Entry 2:
VASP calculation (PBE-GGA) on a relaxed SrSi2 crystal.

CIF file:
```
data_SrSi2
_chemical_formula_sum 'Sr1 Si2'
_cell_length_a 4.9295
_cell_length_b 4.9295
_cell_length_c 4.9295
_cell_angle_alpha 60.00
_cell_angle_beta 60.00
_cell_angle_gamma 60.00
_symmetry_space_group_name_H-M 'P 1'
_symmetry_Int_Tables_number 1
_symmetry_space_group_name_Hall 'P 1'
loop_
_atom_site_label
_atom_site_fract_x
_atom_site_fract_y
_atom_site_fract_z
Sr1 0.0000 0.0000 0.0000
Si1 0.2500 0.2500 0.2500
Si2 0.7500 0.7500 0.7500
```

Properties
- D(E_F): 1.1 states/eV per cell
- E_tot: -3.52 eV/atom



Entry 3:
VASP calculation (PBE-GGA) on a relaxed SrSi3 crystal.

CIF file:
```
data_SrSi3
_chemical_formula_sum 'Sr1 Si3'
_cell_length_a 4.9397
_cell_length_b 4.9397
_cell_length_c 4.9397
_cell_angle_alpha 60.00
_cell_angle_beta 60.00
_cell_angle_gamma 60.00
_symmetry_space_group_name_H-M 'P 1'
_symmetry_Int_Tables_number 1
_symmetry_space_group_name_Hall 'P 1'
loop_
_atom_site_label
_atom_site_fract_x
_atom_site_fract_y
_atom_site_fract_z
Sr1 0.0000 0.0000 0.0000
Si1 0.2500 0.2500 0.2500
Si2 0.5000 0.5000 0.5000
Si3 0.7500 0.7500 0.7500
```

Properties
- D(E_F): 2.0 states/eV per cell
- E_tot: -4.02 eV/atom



Entry 4:
VASP calculation (PBE-GGA) on a relaxed SrSi3 crystal.

CIF file:
```
data_SrSi3
_chemical_formula_sum 'Sr1 Si3'
_cell_length_a 3.5093
_cell_length_b 3.5093
_cell_length_c 6.5440
_cell_angle_alpha 90.00
_cell_angle_beta 90.00
_cell_angle_gamma 90.00
_symmetry_space_group_name_H-M 'P 1'
_symmetry_Int_Tables_number 1
_symmetry_space_group_name_Hall 'P 1'
loop_
_atom_site_label
_atom_site_fract_x
_atom_site_fract_y
_atom_site_fract_z
Sr1 0.0000 0.0000 0.0000
Si1 0.0000 0.0000 0.5000
Si2 0.5000 0.5000 0.3230
Si3 0.5000 0.5000 0.6770
```

Properties
- D(E_F): 1.6 states/eV per cell
- E_tot: -4.47 eV/atom



> Which of these has the highest D(E_F)?

number 1



Copy entry 4 word for word.
VASP calculation (PBE-GGA) on a relaxed SrSi3 crystal.

CIF file:
```
data_SrSi3
_chemical_formula_sum 'Sr1 Si3'
_cell_length_a 3.5093
_cell_length_b 3.5093
_cell_length_c 6.5440
_cell_angle_alpha 90.00
_cell_angle_beta 90.00
_cell_angle_gamma 90.00
_symmetry_space_group_name_H-M 'P 1'
_symmetry_Int_Tables_number 1
_symmetry_space_group_name_Hall 'P 1'
loop_
_atom_site_label
_atom_site_fract_x
_atom_site_fract_y
_atom_site_fract_z
Sr1 0.0000 0.0000 0.0000
Si1 0.0000 0.0000 0.5000
Si2 0.5000 0.5000 0.3230
Si3 0.5000 0.5000 0.6770
```

Properties
- D(E_F): 1.6 states/eV per cell
- E_tot: -4.47 eV/atom



> Look up the E_tot of the second one.

-3.52 eV/atom



> The highest E_tot belongs to which entry?

number 2